DFT (PBE) results for an optimized crystal structure of KPAu2.

Structure (POSCAR):
```
KPAu2
1.0
-4.886 0.201 0.410
-2.094 -0.053 4.437
-2.151 4.050 1.747
Au K P
2 1 1
Direct
0.250 0.250 0.250 Au
0.000 0.000 0.000 Au
0.500 0.500 0.500 K
0.750 0.750 0.750 P
```

The formation energy from the elements is 0.350 eV/atom.



DFT (PBE) results for an optimized crystal structure of KP3Au.

Structure (POSCAR):
```
KP3Au
1.0
-0.804 0.505 4.908
4.335 -2.302 0.947
2.356 4.408 -0.067
P K Au
3 1 1
Direct
0.000 0.000 0.500 P
0.000 0.500 0.000 P
0.500 0.000 0.000 P
0.500 0.500 0.500 K
0.000 0.000 0.000 Au
```

The formation energy from the elements is 0.697 eV/atom.